No. 1
## MgSc2V (PBE-GGA)

Data for a relaxed structure of MgSc2V.

Results
Size of the total moment = 0.91 μB/atom
E_form = 153 meV/atom
Final energy = -22.765 eV/cell

POSCAR file:
```
MgSc2V
1.0
4.847 0.000 0.000
0.000 4.847 0.000
0.000 0.000 3.599
Mg Sc V
1 2 1
direct
0.000 0.000 0.000 Mg
0.000 0.500 0.500 Sc
0.500 0.000 0.500 Sc
0.500 0.500 0.000 V
```

=====

No. 2
## HoU2S5 (PBE-GGA)

Data for a relaxed structure of HoU2S5.

Results
Size of the total moment = 0.62 μB/atom
Final energy = -242.276 eV/cell
Raw formation energy = -1.60 eV per atom

POSCAR file:
```
HoU2S5
1.0
11.749 0.000 0.000
0.000 7.824 0.000
0.000 0.000 7.348
Ho U S
4 8 20
direct
0.006 0.250 0.077 Ho
0.494 0.750 0.577 Ho
0.506 0.250 0.423 Ho
0.994 0.750 0.923 Ho
0.181 0.001 0.513 U
0.181 0.499 0.513 U
0.319 0.501 0.013 U
0.319 0.999 0.013 U
0.681 0.001 0.987 U
0.681 0.499 0.987 U
0.819 0.501 0.487 U
0.819 0.999 0.487 U
0.001 0.250 0.465 S
0.104 0.542 0.162 S
0.104 0.958 0.162 S
0.185 0.250 0.823 S
0.214 0.750 0.796 S
0.286 0.250 0.296 S
0.315 0.750 0.323 S
0.396 0.042 0.662 S
0.396 0.458 0.662 S
0.499 0.750 0.965 S
0.501 0.250 0.035 S
0.604 0.542 0.338 S
0.604 0.958 0.338 S
0.685 0.250 0.677 S
0.714 0.750 0.704 S
0.786 0.250 0.204 S
0.815 0.750 0.177 S
0.896 0.042 0.838 S
0.896 0.458 0.838 S
0.999 0.750 0.535 S
```